AgRu | PBE-GGA | relaxed

Values from the calculation:
DFT formation energy, eV per formula unit: 0.8
Magnetization, μB per cell: 0.000

Unit cell a=5.2928 b=5.2928 c=7.1700 alpha=106.79 beta=106.79 gamma=30.38
Closest atoms and distances in Å follow each position.
Fractional positions:
Ag (0.0000, 0.0000, 0.0000)  6 Ag 2.77-3.00, 6 Ru 2.81-2.94
Ag (0.3483, 0.3483, 0.2445)  7 Ag 2.77-3.00, 5 Ru 2.98-3.11
Ag (0.6360, 0.6360, 0.3471)  7 Ag 2.77-2.85, 4 Ru 2.82-2.88
Ru (0.0282, 0.0282, 0.6218)  6 Ru 2.56-2.77, 1 Ag 2.81
Ru (0.3231, 0.3231, 0.6570)  6 Ru 2.57-2.77, 2 Ag 2.82
Ru (0.7103, 0.7103, 0.8690)  6 Ru 2.56-2.77, 1 Ag 2.82